# PuCo6P4 (GGA-PBE, optimized geometry)
# calculated total energy	-7.633	eV per atom
data_PuCo6P4
_chemical_formula_sum 'Pu1 Co6 P4'
_symmetry_space_group_name_H-M 'P 1'
_symmetry_Int_Tables_number 1
_cell_length_a 5.8086
_cell_length_b 5.8086
_cell_length_c 5.8086
_cell_angle_alpha 115.82
_cell_angle_beta 115.82
_cell_angle_gamma 97.40
loop_
_symmetry_equiv_pos_as_xyz
'x,y,z'
loop_
_atom_site_label
_atom_site_type_symbol
_atom_site_fract_x
_atom_site_fract_y
_atom_site_fract_z
_atom_site_occupancy
Pu1 Pu 0.0000 0.0000 0.0000 1
Co1 Co 0.0000 0.5000 0.5000 1
Co2 Co 0.2323 0.5263 0.0000 1
Co3 Co 0.4737 0.4737 0.7059 1
Co4 Co 0.5000 0.0000 0.5000 1
Co5 Co 0.5263 0.2323 0.0000 1
Co6 Co 0.7677 0.7677 0.2941 1
P1 P 0.1341 0.1341 0.5912 1
P2 P 0.4571 0.8659 0.0000 1
P3 P 0.5429 0.5429 0.4088 1
P4 P 0.8659 0.4571 0.0000 1


# CsPrCrN3 (GGA-PBE, optimized geometry)
# calculated total energy	-7.084	eV per atom
# energy relative to the elements, uncorrected	-378	meV per atom
data_CsPrCrN3
_chemical_formula_sum 'Cs2 Pr2 Cr2 N6'
_symmetry_space_group_name_H-M 'P 1'
_symmetry_Int_Tables_number 1
_cell_length_a 7.1117
_cell_length_b 7.1117
_cell_length_c 8.7379
_cell_angle_alpha 102.89
_cell_angle_beta 102.89
_cell_angle_gamma 30.81
loop_
_symmetry_equiv_pos_as_xyz
'x,y,z'
loop_
_atom_site_label
_atom_site_type_symbol
_atom_site_fract_x
_atom_site_fract_y
_atom_site_fract_z
_atom_site_occupancy
Cs1 Cs 0.1384 0.1384 0.0738 1
Cs2 Cs 0.8616 0.8616 0.9262 1
Pr1 Pr 0.1590 0.1590 0.5886 1
Pr2 Pr 0.8410 0.8410 0.4114 1
Cr1 Cr 0.4874 0.4874 0.6528 1
Cr2 Cr 0.5126 0.5126 0.3472 1
N1 N 0.0165 0.0165 0.3634 1
N2 N 0.3474 0.3474 0.6282 1
N3 N 0.3881 0.3881 0.2324 1
N4 N 0.6119 0.6119 0.7676 1
N5 N 0.6526 0.6526 0.3718 1
N6 N 0.9835 0.9835 0.6366 1


# CeZr6O14 (GGA-PBE, optimized geometry)
# calculated total energy	-9.346	eV per atom
# energy relative to the elements, uncorrected	-3315	meV per atom
data_CeZr6O14
_chemical_formula_sum 'Ce2 Zr12 O28'
_symmetry_space_group_name_H-M 'P 1'
_symmetry_Int_Tables_number 1
_cell_length_a 3.6800
_cell_length_b 25.7292
_cell_length_c 5.3265
_cell_angle_alpha 90.00
_cell_angle_beta 90.00
_cell_angle_gamma 90.00
loop_
_symmetry_equiv_pos_as_xyz
'x,y,z'
loop_
_atom_site_label
_atom_site_type_symbol
_atom_site_fract_x
_atom_site_fract_y
_atom_site_fract_z
_atom_site_occupancy
Ce1 Ce 0.0000 0.1444 0.0000 1
Ce2 Ce 0.0000 0.8556 0.0000 1
Zr1 Zr 0.0000 0.0000 0.0082 1
Zr2 Zr 0.0000 0.2890 0.0087 1
Zr3 Zr 0.0000 0.4297 0.0102 1
Zr4 Zr 0.0000 0.5703 0.0102 1
Zr5 Zr 0.0000 0.7110 0.0087 1
Zr6 Zr 0.5000 0.0715 0.5029 1
Zr7 Zr 0.5000 0.2171 0.5026 1
Zr8 Zr 0.5000 0.3589 0.5124 1
Zr9 Zr 0.5000 0.5000 0.5133 1
Zr10 Zr 0.5000 0.6411 0.5124 1
Zr11 Zr 0.5000 0.7829 0.5026 1
Zr12 Zr 0.5000 0.9285 0.5029 1
O1 O 0.0000 0.0695 0.2144 1
O2 O 0.0000 0.0692 0.7026 1
O3 O 0.0000 0.2194 0.2143 1
O4 O 0.0000 0.2195 0.7022 1
O5 O 0.0000 0.3593 0.2040 1
O6 O 0.0000 0.3591 0.7033 1
O7 O 0.0000 0.5000 0.2054 1
O8 O 0.0000 0.5000 0.7043 1
O9 O 0.0000 0.6407 0.2040 1
O10 O 0.0000 0.6409 0.7033 1
O11 O 0.0000 0.7805 0.7022 1
O12 O 0.0000 0.7806 0.2143 1
O13 O 0.0000 0.9305 0.2144 1
O14 O 0.0000 0.9308 0.7026 1
O15 O 0.5000 0.0000 0.3170 1
O16 O 0.5000 0.0000 0.8184 1
O17 O 0.5000 0.1444 0.2958 1
O18 O 0.5000 0.1443 0.7683 1
O19 O 0.5000 0.2888 0.3169 1
O20 O 0.5000 0.2885 0.8182 1
O21 O 0.5000 0.4296 0.3189 1
O22 O 0.5000 0.4296 0.8198 1
O23 O 0.5000 0.5704 0.3189 1
O24 O 0.5000 0.5704 0.8198 1
O25 O 0.5000 0.7112 0.3169 1
O26 O 0.5000 0.7115 0.8182 1
O27 O 0.5000 0.8556 0.2958 1
O28 O 0.5000 0.8557 0.7683 1


# MnTePb2 (GGA-PBE, optimized geometry)
# calculated total energy	-4.656	eV per atom
# energy relative to the elements, uncorrected	276	meV per atom
data_MnTePb2
_chemical_formula_sum 'Mn2 Te2 Pb4'
_symmetry_space_group_name_H-M 'P 1'
_symmetry_Int_Tables_number 1
_cell_length_a 4.5062
_cell_length_b 4.5062
_cell_length_c 10.8078
_cell_angle_alpha 90.00
_cell_angle_beta 90.00
_cell_angle_gamma 90.00
loop_
_symmetry_equiv_pos_as_xyz
'x,y,z'
loop_
_atom_site_label
_atom_site_type_symbol
_atom_site_fract_x
_atom_site_fract_y
_atom_site_fract_z
_atom_site_occupancy
Mn1 Mn 0.0000 0.0000 0.0000 1
Mn2 Mn 0.5000 0.5000 0.5000 1
Te1 Te 0.0000 0.0000 0.5000 1
Te2 Te 0.5000 0.5000 0.0000 1
Pb1 Pb 0.0000 0.5000 0.2500 1
Pb2 Pb 0.0000 0.5000 0.7500 1
Pb3 Pb 0.5000 0.0000 0.2500 1
Pb4 Pb 0.5000 0.0000 0.7500 1


# AcDy2MgHg4 (GGA-PBE, optimized geometry)
# calculated total energy	-2.440	eV per atom
data_AcDy2MgHg4
_chemical_formula_sum 'Ac1 Dy2 Mg1 Hg4'
_symmetry_space_group_name_H-M 'P 1'
_symmetry_Int_Tables_number 1
_cell_length_a 10.0109
_cell_length_b 10.0109
_cell_length_c 10.0109
_cell_angle_alpha 29.65
_cell_angle_beta 29.65
_cell_angle_gamma 29.65
loop_
_symmetry_equiv_pos_as_xyz
'x,y,z'
loop_
_atom_site_label
_atom_site_type_symbol
_atom_site_fract_x
_atom_site_fract_y
_atom_site_fract_z
_atom_site_occupancy
Ac1 Ac 0.0000 0.0000 0.0000 1
Dy1 Dy 0.2366 0.2366 0.2366 1
Dy2 Dy 0.7634 0.7634 0.7634 1
Mg1 Mg 0.5000 0.5000 0.5000 1
Hg1 Hg 0.1275 0.1275 0.1275 1
Hg2 Hg 0.3910 0.3910 0.3910 1
Hg3 Hg 0.6090 0.6090 0.6090 1
Hg4 Hg 0.8725 0.8725 0.8725 1


# Mg2CrCd (GGA-PBE, optimized geometry)
# calculated total energy	-3.178	eV per atom
data_Mg2CrCd
_chemical_formula_sum 'Mg2 Cr1 Cd1'
_symmetry_space_group_name_H-M 'P 1'
_symmetry_Int_Tables_number 1
_cell_length_a 3.0283
_cell_length_b 4.7599
_cell_length_c 5.6568
_cell_angle_alpha 90.00
_cell_angle_beta 99.97
_cell_angle_gamma 90.00
loop_
_symmetry_equiv_pos_as_xyz
'x,y,z'
loop_
_atom_site_label
_atom_site_type_symbol
_atom_site_fract_x
_atom_site_fract_y
_atom_site_fract_z
_atom_site_occupancy
Mg1 Mg 0.2331 0.0000 0.2420 1
Mg2 Mg 0.7669 0.0000 0.7580 1
Cr1 Cr 0.5000 0.5000 0.0000 1
Cd1 Cd 0.0000 0.5000 0.5000 1


# LiTiB12 (GGA-PBE, optimized geometry)
# calculated total energy	-6.398	eV per atom
data_LiTiB12
_chemical_formula_sum 'Li1 Ti1 B12'
_symmetry_space_group_name_H-M 'P 1'
_symmetry_Int_Tables_number 1
_cell_length_a 4.0955
_cell_length_b 4.0955
_cell_length_c 8.1979
_cell_angle_alpha 90.00
_cell_angle_beta 90.00
_cell_angle_gamma 90.00
loop_
_symmetry_equiv_pos_as_xyz
'x,y,z'
loop_
_atom_site_label
_atom_site_type_symbol
_atom_site_fract_x
_atom_site_fract_y
_atom_site_fract_z
_atom_site_occupancy
Li1 Li 0.0000 0.0000 0.0000 1
Ti1 Ti 0.0000 0.0000 0.5000 1
B1 B 0.1989 0.5000 0.2535 1
B2 B 0.1989 0.5000 0.7465 1
B3 B 0.5000 0.1989 0.2535 1
B4 B 0.5000 0.1989 0.7465 1
B5 B 0.5000 0.5000 0.1011 1
B6 B 0.5000 0.5000 0.4024 1
B7 B 0.5000 0.5000 0.5976 1
B8 B 0.5000 0.5000 0.8989 1
B9 B 0.5000 0.8011 0.2535 1
B10 B 0.5000 0.8011 0.7465 1
B11 B 0.8011 0.5000 0.2535 1
B12 B 0.8011 0.5000 0.7465 1


# ErTlCdPt (GGA-PBE, optimized geometry)
# calculated total energy	-3.943	eV per atom
data_ErTlCdPt
_chemical_formula_sum 'Er4 Tl4 Cd4 Pt4'
_symmetry_space_group_name_H-M 'P 1'
_symmetry_Int_Tables_number 1
_cell_length_a 7.0210
_cell_length_b 7.0210
_cell_length_c 7.0210
_cell_angle_alpha 90.00
_cell_angle_beta 90.00
_cell_angle_gamma 90.00
loop_
_symmetry_equiv_pos_as_xyz
'x,y,z'
loop_
_atom_site_label
_atom_site_type_symbol
_atom_site_fract_x
_atom_site_fract_y
_atom_site_fract_z
_atom_site_occupancy
Er1 Er 0.0000 0.0000 0.0000 1
Er2 Er 0.0000 0.5000 0.5000 1
Er3 Er 0.5000 0.0000 0.5000 1
Er4 Er 0.5000 0.5000 0.0000 1
Tl1 Tl 0.2500 0.2500 0.7500 1
Tl2 Tl 0.2500 0.7500 0.2500 1
Tl3 Tl 0.7500 0.2500 0.2500 1
Tl4 Tl 0.7500 0.7500 0.7500 1
Cd1 Cd 0.0000 0.0000 0.5000 1
Cd2 Cd 0.0000 0.5000 0.0000 1
Cd3 Cd 0.5000 0.0000 0.0000 1
Cd4 Cd 0.5000 0.5000 0.5000 1
Pt1 Pt 0.2500 0.2500 0.2500 1
Pt2 Pt 0.2500 0.7500 0.7500 1
Pt3 Pt 0.7500 0.2500 0.7500 1
Pt4 Pt 0.7500 0.7500 0.2500 1


# Rb2SrYF6 (GGA-PBE, optimized geometry)
# calculated total energy	-5.406	eV per atom
# energy relative to the elements, uncorrected	-3275	meV per atom
data_Rb2SrYF6
_chemical_formula_sum 'Rb2 Sr1 Y1 F6'
_symmetry_space_group_name_H-M 'P 1'
_symmetry_Int_Tables_number 1
_cell_length_a 6.7016
_cell_length_b 6.7016
_cell_length_c 6.7016
_cell_angle_alpha 60.00
_cell_angle_beta 60.00
_cell_angle_gamma 60.00
loop_
_symmetry_equiv_pos_as_xyz
'x,y,z'
loop_
_atom_site_label
_atom_site_type_symbol
_atom_site_fract_x
_atom_site_fract_y
_atom_site_fract_z
_atom_site_occupancy
Rb1 Rb 0.2500 0.2500 0.2500 1
Rb2 Rb 0.7500 0.7500 0.7500 1
Sr1 Sr 0.0000 0.0000 0.0000 1
Y1 Y 0.5000 0.5000 0.5000 1
F1 F 0.2644 0.2644 0.7356 1
F2 F 0.2644 0.7356 0.2644 1
F3 F 0.2644 0.7356 0.7356 1
F4 F 0.7356 0.2644 0.2644 1
F5 F 0.7356 0.2644 0.7356 1
F6 F 0.7356 0.7356 0.2644 1


# Ba2CrSi3Pt12 (GGA-PBE, optimized geometry)
# calculated total energy	-6.007	eV per atom
# energy relative to the elements, uncorrected	-327	meV per atom
data_Ba2CrSi3Pt12
_chemical_formula_sum 'Ba2 Cr1 Si3 Pt12'
_symmetry_space_group_name_H-M 'P 1'
_symmetry_Int_Tables_number 1
_cell_length_a 7.9154
_cell_length_b 7.9154
_cell_length_c 7.9154
_cell_angle_alpha 63.25
_cell_angle_beta 63.25
_cell_angle_gamma 63.25
loop_
_symmetry_equiv_pos_as_xyz
'x,y,z'
loop_
_atom_site_label
_atom_site_type_symbol
_atom_site_fract_x
_atom_site_fract_y
_atom_site_fract_z
_atom_site_occupancy
Ba1 Ba 0.1138 0.1138 0.1138 1
Ba2 Ba 0.8862 0.8862 0.8862 1
Cr1 Cr 0.5000 0.5000 0.5000 1
Si1 Si 0.0000 0.5000 0.5000 1
Si2 Si 0.5000 0.0000 0.5000 1
Si3 Si 0.5000 0.5000 0.0000 1
Pt1 Pt 0.1335 0.6180 0.6180 1
Pt2 Pt 0.1521 0.1521 0.5933 1
Pt3 Pt 0.1521 0.5933 0.1521 1
Pt4 Pt 0.3820 0.3820 0.8665 1
Pt5 Pt 0.3820 0.8665 0.3820 1
Pt6 Pt 0.4067 0.8479 0.8479 1
Pt7 Pt 0.5933 0.1521 0.1521 1
Pt8 Pt 0.6180 0.1335 0.6180 1
Pt9 Pt 0.6180 0.6180 0.1335 1
Pt10 Pt 0.8479 0.4067 0.8479 1
Pt11 Pt 0.8479 0.8479 0.4067 1
Pt12 Pt 0.8665 0.3820 0.3820 1


# Ac2HoCu3Ge4 (GGA-PBE, optimized geometry)
# calculated total energy	-4.896	eV per atom
data_Ac2HoCu3Ge4
_chemical_formula_sum 'Ac2 Ho1 Cu3 Ge4'
_symmetry_space_group_name_H-M 'P 1'
_symmetry_Int_Tables_number 1
_cell_length_a 4.4440
_cell_length_b 4.4440
_cell_length_c 10.9605
_cell_angle_alpha 90.00
_cell_angle_beta 90.00
_cell_angle_gamma 90.00
loop_
_symmetry_equiv_pos_as_xyz
'x,y,z'
loop_
_atom_site_label
_atom_site_type_symbol
_atom_site_fract_x
_atom_site_fract_y
_atom_site_fract_z
_atom_site_occupancy
Ac1 Ac 0.0000 0.5000 0.2283 1
Ac2 Ac 0.5000 0.0000 0.7717 1
Ho1 Ho 0.0000 0.0000 0.5000 1
Cu1 Cu 0.0000 0.5000 0.8872 1
Cu2 Cu 0.5000 0.0000 0.1128 1
Cu3 Cu 0.5000 0.5000 0.5000 1
Ge1 Ge 0.0000 0.0000 0.0000 1
Ge2 Ge 0.0000 0.5000 0.6567 1
Ge3 Ge 0.5000 0.0000 0.3433 1
Ge4 Ge 0.5000 0.5000 0.0000 1


# Cs3NaMg2Cl8 (GGA-PBE, optimized geometry)
# calculated total energy	-3.484	eV per atom
# energy relative to the elements, uncorrected	-1924	meV per atom
data_Cs3NaMg2Cl8
_chemical_formula_sum 'Cs3 Na1 Mg2 Cl8'
_symmetry_space_group_name_H-M 'P 1'
_symmetry_Int_Tables_number 1
_cell_length_a 7.5547
_cell_length_b 7.5547
_cell_length_c 9.7377
_cell_angle_alpha 90.00
_cell_angle_beta 90.00
_cell_angle_gamma 120.00
loop_
_symmetry_equiv_pos_as_xyz
'x,y,z'
loop_
_atom_site_label
_atom_site_type_symbol
_atom_site_fract_x
_atom_site_fract_y
_atom_site_fract_z
_atom_site_occupancy
Cs1 Cs 0.0000 0.0000 0.0000 1
Cs2 Cs 0.3333 0.6667 0.6373 1
Cs3 Cs 0.6667 0.3333 0.3627 1
Na1 Na 0.0000 0.0000 0.5000 1
Mg1 Mg 0.3333 0.6667 0.2218 1
Mg2 Mg 0.6667 0.3333 0.7782 1
Cl1 Cl 0.1681 0.3361 0.3179 1
Cl2 Cl 0.1681 0.8319 0.3179 1
Cl3 Cl 0.3333 0.6667 0.9845 1
Cl4 Cl 0.3361 0.1681 0.6821 1
Cl5 Cl 0.6639 0.8319 0.3179 1
Cl6 Cl 0.6667 0.3333 0.0155 1
Cl7 Cl 0.8319 0.1681 0.6821 1
Cl8 Cl 0.8319 0.6639 0.6821 1


Please write out number 1 again, unchanged.
# PuCo6P4 (GGA-PBE, optimized geometry)
# calculated total energy	-7.633	eV per atom
data_PuCo6P4
_chemical_formula_sum 'Pu1 Co6 P4'
_symmetry_space_group_name_H-M 'P 1'
_symmetry_Int_Tables_number 1
_cell_length_a 5.8086
_cell_length_b 5.8086
_cell_length_c 5.8086
_cell_angle_alpha 115.82
_cell_angle_beta 115.82
_cell_angle_gamma 97.40
loop_
_symmetry_equiv_pos_as_xyz
'x,y,z'
loop_
_atom_site_label
_atom_site_type_symbol
_atom_site_fract_x
_atom_site_fract_y
_atom_site_fract_z
_atom_site_occupancy
Pu1 Pu 0.0000 0.0000 0.0000 1
Co1 Co 0.0000 0.5000 0.5000 1
Co2 Co 0.2323 0.5263 0.0000 1
Co3 Co 0.4737 0.4737 0.7059 1
Co4 Co 0.5000 0.0000 0.5000 1
Co5 Co 0.5263 0.2323 0.0000 1
Co6 Co 0.7677 0.7677 0.2941 1
P1 P 0.1341 0.1341 0.5912 1
P2 P 0.4571 0.8659 0.0000 1
P3 P 0.5429 0.5429 0.4088 1
P4 P 0.8659 0.4571 0.0000 1